Version 1
This record from Alexandria describes a relaxed BaB crystal. The functional is GGA-PBE.

Geometry as CIF:
```
data_BaB
_chemical_formula_sum 'Ba6 B6'
_symmetry_space_group_name_H-M 'P 1'
_symmetry_Int_Tables_number 1
_cell_length_a 11.3785
_cell_length_b 11.3785
_cell_length_c 3.2911
_cell_angle_alpha 90.00
_cell_angle_beta 90.00
_cell_angle_gamma 120.00
loop_
_symmetry_equiv_pos_as_xyz
'x,y,z'
loop_
_atom_site_label
_atom_site_type_symbol
_atom_site_fract_x
_atom_site_fract_y
_atom_site_fract_z
Ba1 Ba 0.5649 0.7824 0.7500
Ba2 Ba 0.2176 0.4351 0.7500
Ba3 Ba 0.7824 0.5649 0.2500
Ba4 Ba 0.7824 0.2176 0.2500
Ba5 Ba 0.2176 0.7824 0.7500
Ba6 Ba 0.4351 0.2176 0.2500
B1 B 0.5077 0.4923 0.7500
B2 B 0.9846 0.4923 0.7500
B3 B 0.5077 0.0154 0.7500
B4 B 0.4923 0.5077 0.2500
B5 B 0.0154 0.5077 0.2500
B6 B 0.4923 0.9846 0.2500
```

Values from the calculation:
- DOS at the Fermi energy (states/eV per cell) = 8.66
- M_tot (μB per cell) = 0.59

---

Version 2
This record from Alexandria describes a relaxed BaB crystal. The functional is GGA-PBE.

Geometry as CIF:
```
data_BaB
_chemical_formula_sum 'Ba6 B6'
_symmetry_space_group_name_H-M 'P 1'
_symmetry_Int_Tables_number 1
_cell_length_a 11.7544
_cell_length_b 5.1879
_cell_length_c 5.8398
_cell_angle_alpha 90.00
_cell_angle_beta 90.00
_cell_angle_gamma 90.00
loop_
_symmetry_equiv_pos_as_xyz
'x,y,z'
loop_
_atom_site_label
_atom_site_type_symbol
_atom_site_fract_x
_atom_site_fract_y
_atom_site_fract_z
Ba1 Ba 0.6869 0.0000 0.6591
Ba2 Ba 0.1869 0.5000 0.1591
Ba3 Ba 0.3131 0.0000 0.6591
Ba4 Ba 0.0000 0.0000 0.8008
Ba5 Ba 0.8131 0.5000 0.1591
Ba6 Ba 0.5000 0.5000 0.3008
B1 B 0.0000 0.5000 0.5911
B2 B 0.6347 0.0000 0.1460
B3 B 0.8653 0.5000 0.6460
B4 B 0.5000 0.0000 0.0911
B5 B 0.1347 0.5000 0.6460
B6 B 0.3653 0.0000 0.1460
```

Values from the calculation:
- DOS at the Fermi energy (states/eV per cell) = 6.94
- M_tot (μB per cell) = 0.00

---

Most stable: version 1 (next structure +0.204 eV/atom)

---

Version 1
This record from Alexandria describes a relaxed BaB crystal. The functional is GGA-PBE.

Geometry as CIF:
```
data_BaB
_chemical_formula_sum 'Ba16 B16'
_symmetry_space_group_name_H-M 'P 1'
_symmetry_Int_Tables_number 1
_cell_length_a 7.2159
_cell_length_b 10.1295
_cell_length_c 11.9880
_cell_angle_alpha 90.00
_cell_angle_beta 90.00
_cell_angle_gamma 90.00
loop_
_symmetry_equiv_pos_as_xyz
'x,y,z'
loop_
_atom_site_label
_atom_site_type_symbol
_atom_site_fract_x
_atom_site_fract_y
_atom_site_fract_z
B1 B 0.6412 0.7500 0.2500
B2 B 0.8912 0.5000 0.0000
B3 B 0.1412 0.2500 0.2500
B4 B 0.6088 0.5000 0.5000
B5 B 0.8588 0.7500 0.2500
B6 B 0.3912 0.5000 0.5000
B7 B 0.8588 0.2500 0.7500
B8 B 0.6412 0.2500 0.7500
B9 B 0.3588 0.7500 0.7500
B10 B 0.8912 0.0000 0.5000
B11 B 0.3588 0.2500 0.2500
B12 B 0.6088 0.0000 0.0000
B13 B 0.1088 0.0000 0.5000
B14 B 0.1412 0.7500 0.7500
B15 B 0.3912 0.0000 0.0000
B16 B 0.1088 0.5000 0.0000
Ba1 Ba 0.5000 0.7892 0.5000
Ba2 Ba 0.2500 0.5392 0.2500
Ba3 Ba 0.5000 0.7108 0.0000
Ba4 Ba 0.5000 0.2892 0.0000
Ba5 Ba 0.2500 0.4608 0.7500
Ba6 Ba 0.0000 0.2108 0.0000
Ba7 Ba 0.7500 0.9608 0.7500
Ba8 Ba 0.5000 0.2108 0.5000
Ba9 Ba 0.7500 0.4608 0.2500
Ba10 Ba 0.7500 0.0392 0.2500
Ba11 Ba 0.7500 0.5392 0.7500
Ba12 Ba 0.0000 0.7108 0.5000
Ba13 Ba 0.0000 0.7892 0.0000
Ba14 Ba 0.2500 0.0392 0.7500
Ba15 Ba 0.0000 0.2892 0.5000
Ba16 Ba 0.2500 0.9608 0.2500
```

Values from the calculation:
- DOS at the Fermi energy (states/eV per cell) = 5.40
- M_tot (μB per cell) = 0.00

---

Version 2
This record from Alexandria describes a relaxed BaB crystal. The functional is GGA-PBE.

Geometry as CIF:
```
data_BaB
_chemical_formula_sum 'Ba6 B6'
_symmetry_space_group_name_H-M 'P 1'
_symmetry_Int_Tables_number 1
_cell_length_a 20.3193
_cell_length_b 3.3767
_cell_length_c 4.6694
_cell_angle_alpha 90.00
_cell_angle_beta 90.00
_cell_angle_gamma 90.00
loop_
_symmetry_equiv_pos_as_xyz
'x,y,z'
loop_
_atom_site_label
_atom_site_type_symbol
_atom_site_fract_x
_atom_site_fract_y
_atom_site_fract_z
B1 B 0.2563 0.0000 0.0000
B2 B 0.7437 0.0000 0.0000
B3 B 0.0000 0.0000 0.5000
B4 B 0.7563 0.5000 0.0000
B5 B 0.2437 0.5000 0.0000
B6 B 0.5000 0.5000 0.5000
Ba1 Ba 0.1590 0.0000 0.5000
Ba2 Ba 0.6590 0.5000 0.5000
Ba3 Ba 0.0000 0.5000 0.0000
Ba4 Ba 0.3410 0.5000 0.5000
Ba5 Ba 0.5000 0.0000 0.0000
Ba6 Ba 0.8410 0.0000 0.5000
```

Values from the calculation:
- DOS at the Fermi energy (states/eV per cell) = 8.31
- M_tot (μB per cell) = 0.00

---

Most stable: version 1 (next structure +0.015 eV/atom)